# 1
Material: Ba2VOF5
Method: DFT, GGA+U
State: optimized geometry Values from VASP.

Calculated values
space-group type: Fmm2, No. 42

Cell and atoms, written as Quantum ESPRESSO input:
```
&SYSTEM
  ibrav = 0, nat = 9, ntyp = 4
/
ATOMIC_SPECIES
F 19.00 F.upf
V 50.94 V.upf
Ba 137.33 Ba.upf
O 16.00 O.upf
ATOMIC_POSITIONS angstrom
F 1.476 0.787 1.142
F -1.457 2.617 3.798
F 2.916 3.383 1.253
F 4.636 0.648 0.941
F 2.916 -0.033 3.607
V -5.921 3.533 5.127
Ba 0.052 3.336 1.290
Ba 0.052 0.018 3.576
O -4.659 2.780 4.035
CELL_PARAMETERS angstrom
6.009 -0.171 -0.248
-3.004 5.110 0.315
-3.004 -1.526 4.887
```

# 2
Material: Li3Mn3P4O16
Method: DFT, GGA+U
State: optimized geometry Values from VASP.

Calculated values
excess energy over the best structure of this formula in the dataset: 1 meV/atom
space-group type: P1, No. 1

Cell and atoms, written as Quantum ESPRESSO input:
```
&SYSTEM
  ibrav = 0, nat = 52, ntyp = 4
/
ATOMIC_SPECIES
P 30.97 P.upf
O 16.00 O.upf
Mn 54.94 Mn.upf
Li 6.94 Li.upf
ATOMIC_POSITIONS angstrom
P 1.155 1.517 5.120
P 5.677 6.777 9.905
P 4.926 2.552 7.706
P 5.906 6.665 4.876
P 1.455 1.517 0.243
P 1.993 5.626 7.430
P 2.201 5.627 2.278
P 5.153 2.671 2.675
O 0.659 1.580 1.558
O 7.254 7.274 0.929
O 2.382 0.546 5.145
O 4.073 3.143 1.623
O 4.386 2.614 4.060
O 0.071 1.058 4.120
O 4.668 7.618 4.912
O 6.446 6.735 8.522
O 3.856 2.985 6.658
O 6.146 3.528 7.671
O 6.331 3.603 2.756
O 3.085 5.185 8.430
O 1.598 2.935 4.784
O 2.627 5.590 5.982
O 1.762 7.073 2.779
O -0.102 1.238 9.066
O 0.523 1.469 6.569
O 1.524 7.035 7.766
O 2.995 5.703 0.963
O 4.481 7.686 9.824
O 0.784 4.634 7.404
O 5.378 1.139 7.330
O 5.855 5.322 0.257
O 5.482 5.243 5.252
O 5.511 1.217 2.294
O 1.359 2.966 9.772
O 6.969 7.117 5.923
O 1.061 4.667 2.258
O 3.255 5.372 3.484
O 2.612 0.578 0.265
O 4.279 2.629 9.123
O 6.551 6.754 3.459
Mn 3.586 4.069 5.052
Mn 7.217 8.205 7.528
Mn 2.852 7.093 4.399
Mn 7.384 0.142 2.516
Mn 0.267 2.967 8.153
Mn 4.003 4.213 0.035
Li 6.860 5.272 2.058
Li 4.509 1.146 0.494
Li 4.324 1.202 5.531
Li 0.463 3.035 3.009
Li 2.652 7.156 9.542
Li 6.534 5.324 7.052
CELL_PARAMETERS angstrom
7.705 0.069 0.029
-0.081 8.204 0.001
-0.508 -0.005 10.029
```

| no. | DFT total energy (eV per atom) |
| --- | --- |
| 1 | -6.081 |
| 2 | -7.071 |